Record 1
The following is a GGA-PBE calculation of TlFe2Ni2 after structural relaxation, from Alexandria.

The space group is P4/mbm (No. 127) and the conventional cell measures 7.067, 7.067 and 2.815 Å, with angles of 90.00, 90.00 and 90.00 degrees. The distinct sites, in fractional coordinates, are Tl at (0.000, 0.000, 0.000), Fe at (0.162, 0.338, 0.500) and Ni at (0.127, 0.627, 0.000).

The formation energy comes out at 276 meV per atom.



Record 2
The following is a GGA-PBE calculation of TcB3Br after structural relaxation, from Alexandria.

The space group is Pm-3m (No. 221) and the conventional cell measures 4.243, 4.243 and 4.243 Å, with angles of 90.00, 90.00 and 90.00 degrees. The distinct sites, in fractional coordinates, are Tc at (0.000, 0.000, 0.000), B at (0.000, 0.000, 0.500) and Br at (0.500, 0.500, 0.500).



Short version: energy above the lowest structure with this stoichiometry = 0.000, 0.000 eV/atom, in the order given.
Short version: VASP energy = -0.433, -0.364 Ry per atom, in the order given.